Ce5Zr3P8 after structural relaxation. Source: Alexandria, functional GGA-PBE.

## Properties
**Calculated volume**: 1041.1 Å³/cell
**Formation enthalpy at 0 K**: -1.4638 eV/atom

Cell: 7.8833 7.8833 19.3446 Å, 90.00 90.00 120.00°
Closest atoms and distances in Å follow each position.
Space group R-3m (No. 166, hexagonal axes)
One atom of each set of equivalent atoms:
1 Ce 0.0000 0.0000 0.0000 (multiplicity 3)  6 P 2.79
2 Ce 0.0000 0.0000 0.5000 (multiplicity 3)  6 P 2.79
3 Ce 0.0000 0.5000 0.0000 (multiplicity 9)  6 P 2.86-2.87
4 Zr 0.0000 0.5000 0.5000 (multiplicity 9)  6 P 2.71-2.72
5 P 0.0000 0.0000 0.2440 (multiplicity 6)  3 Zr 2.72, 3 Ce 2.86
6 P 0.0094 0.5047 0.7547 (multiplicity 18)  2 Zr 2.71, 4 Ce 2.79-2.87


CaCeInPd after structural relaxation. Source: Alexandria, functional GGA-PBE.

## Properties
**Calculated volume**: 409.7 Å³/cell
**Formation enthalpy at 0 K**: -0.4478 eV/atom

Cell: 7.4272 7.4272 7.4272 Å, 90.00 90.00 90.00°
Closest atoms and distances in Å follow each position.
Space group F-43m (No. 216)
One atom of each set of equivalent atoms:
1 Ca 0.0000 0.0000 0.0000 (multiplicity 4)  4 In 3.22, 4 Pd 3.22
2 Ce 0.0000 0.0000 0.5000 (multiplicity 4)  4 In 3.22, 4 Pd 3.22
3 In 0.2500 0.2500 0.2500 (multiplicity 4)  4 Ce 3.22, 4 Ca 3.22
4 Pd 0.2500 0.2500 0.7500 (multiplicity 4)  4 Ce 3.22, 4 Ca 3.22


| no. | magnetization (μB per formula unit) |
| --- | --- |
| 1 | 0.00 |
| 2 | 0.78 |